## Ag2P2Ir (PBE)

Data for an optimized crystal structure of Ag2P2Ir.

The crystal system is tetragonal. The energy of formation is -0.154 eV/atom.

It has space group P4/mbm (No. 127), with a = 5.919 Å, b = 5.919 Å, c = 4.902 Å, α = 90.00°, β = 90.00° and γ = 90.00°. Symmetry generates all atoms from Ag at (0.211, 0.289, 0.000), P at (0.131, 0.369, 0.500) and Ir at (0.000, 0.000, 0.500).



## Ag2PIr (PBE)

Data for an optimized crystal structure of Ag2PIr.

The crystal system is orthorhombic. The energy of formation is 0.477 eV/atom.

It has space group Cmmm (No. 65), with a = 2.823 Å, b = 4.872 Å, c = 9.499 Å, α = 90.00°, β = 90.00° and γ = 90.00°. Symmetry generates all atoms from Ag at (0.000, 0.000, 0.246), P at (0.000, 0.500, 0.000) and Ir at (0.000, 0.500, 0.500).



## AgPIr2 (PBE)

Data for an optimized crystal structure of AgPIr2.

The crystal system is orthorhombic. The energy of formation is 0.217 eV/atom.

It has space group Amm2 (No. 38), with a = 4.391 Å, b = 2.866 Å, c = 10.159 Å, α = 90.00°, β = 90.00° and γ = 90.00°. Symmetry generates all atoms from Ag at (0.000, 0.000, 0.000), P at (0.500, 0.000, 0.339), Ir at (0.000, 0.000, 0.263) and Ir at (0.500, 0.000, 0.654).



## AgPIr2 (PBE)

Data for an optimized crystal structure of AgPIr2.

The crystal system is monoclinic. The energy of formation is 0.483 eV/atom.

It has space group C2/m (No. 12), with a = 5.508 Å, b = 9.115 Å, c = 2.796 Å, α = 90.00°, β = 119.61° and γ = 90.00°. Symmetry generates all atoms from Ag at (0.000, 0.000, 0.000), P at (0.000, 0.500, 0.000) and Ir at (0.250, 0.250, 0.000).



## Ag3PIr (PBE)

Data for an optimized crystal structure of Ag3PIr.

The crystal system is cubic. The energy of formation is 1.541 eV/atom. As for the energy above the most stable polymorph in this dataset: 576.0 meV/atom.

It has space group Pm-3m (No. 221), with a = 5.042 Å, b = 5.042 Å, c = 5.042 Å, α = 90.00°, β = 90.00° and γ = 90.00°. Symmetry generates all atoms from Ag at (0.000, 0.000, 0.500), P at (0.500, 0.500, 0.500) and Ir at (0.000, 0.000, 0.000).



## AgPIr2 (PBE)

Data for an optimized crystal structure of AgPIr2.

The crystal system is tetragonal. The energy of formation is 0.205 eV/atom.

It has space group P4mm (No. 99), with a = 2.819 Å, b = 2.819 Å, c = 8.004 Å, α = 90.00°, β = 90.00° and γ = 90.00°. Symmetry generates all atoms from Ag at (0.000, 0.000, 0.000), P at (0.500, 0.500, 0.686), Ir at (0.000, 0.000, 0.507) and Ir at (0.500, 0.500, 0.261).



## AgPIr (PBE)

Data for an optimized crystal structure of AgPIr.

The crystal system is monoclinic. The energy of formation is -0.046 eV/atom. As for the energy above the most stable polymorph in this dataset: 0.0 meV/atom.

It has space group Cm (No. 8), with a = 11.590 Å, b = 2.901 Å, c = 2.942 Å, α = 90.00°, β = 90.54° and γ = 90.00°. Symmetry generates all atoms from Ag at (0.000, 0.000, 0.000), P at (0.293, 0.000, 0.007) and Ir at (0.188, 0.500, 0.504).



## AgPIr2 (PBE)

Data for an optimized crystal structure of AgPIr2.

The crystal system is orthorhombic. The energy of formation is 0.352 eV/atom.

It has space group Cmm2 (No. 35), with a = 2.762 Å, b = 4.840 Å, c = 9.350 Å, α = 90.00°, β = 90.00° and γ = 90.00°. Symmetry generates all atoms from Ag at (0.000, 0.000, 0.000), P at (0.000, 0.500, 0.276), Ir at (0.000, 0.000, 0.487) and Ir at (0.000, 0.500, 0.737).



## Ag2PIr (PBE)

Data for an optimized crystal structure of Ag2PIr.

The crystal system is tetragonal. The energy of formation is 0.414 eV/atom.

It has space group P4/mmm (No. 123), with a = 3.722 Å, b = 3.722 Å, c = 4.610 Å, α = 90.00°, β = 90.00° and γ = 90.00°. Symmetry generates all atoms from Ag at (0.000, 0.500, 0.000), P at (0.000, 0.000, 0.500) and Ir at (0.500, 0.500, 0.500).



## Ag2PIr (PBE)

Data for an optimized crystal structure of Ag2PIr.

The crystal system is monoclinic. The energy of formation is 0.292 eV/atom.

It has space group P2/m (No. 10), with a = 2.953 Å, b = 4.993 Å, c = 4.606 Å, α = 90.00°, β = 92.14° and γ = 90.00°. Symmetry generates all atoms from Ag at (0.244, 0.000, 0.250), P at (0.500, 0.500, 0.500) and Ir at (0.500, 0.500, 0.000).



## AgPIr2 (PBE)

Data for an optimized crystal structure of AgPIr2.

The crystal system is orthorhombic. The energy of formation is 0.078 eV/atom.

It has space group Imm2 (No. 44), with a = 2.879 Å, b = 2.918 Å, c = 15.137 Å, α = 90.00°, β = 90.00° and γ = 90.00°. Symmetry generates all atoms from Ag at (0.000, 0.000, 0.000), P at (0.000, 0.500, 0.255), Ir at (0.000, 0.000, 0.637) and Ir at (0.000, 0.500, 0.837).



## Ag2PIr (PBE)

Data for an optimized crystal structure of Ag2PIr.

The crystal system is orthorhombic. The energy of formation is 0.408 eV/atom.

It has space group Pmmm (No. 47), with a = 3.048 Å, b = 4.326 Å, c = 4.851 Å, α = 90.00°, β = 90.00° and γ = 90.00°. Symmetry generates all atoms from Ag at (0.000, 0.000, 0.000), Ag at (0.500, 0.500, 0.000), P at (0.000, 0.500, 0.500) and Ir at (0.500, 0.000, 0.500).



## Ag2PIr (PBE)

Data for an optimized crystal structure of Ag2PIr.

The crystal system is monoclinic. The energy of formation is 0.102 eV/atom.

It has space group Cm (No. 8), with a = 7.945 Å, b = 3.040 Å, c = 6.743 Å, α = 90.00°, β = 122.01° and γ = 90.00°. Symmetry generates all atoms from Ag at (0.000, 0.000, 0.000), Ag at (0.163, 0.000, 0.729), P at (0.259, 0.500, 0.403) and Ir at (0.422, 0.000, 0.305).



## AgP4Ir (PBE)

Data for an optimized crystal structure of AgP4Ir.

The crystal system is cubic. The energy of formation is 0.846 eV/atom.

It has space group F-43m (No. 216), with a = 7.190 Å, b = 7.190 Å, c = 7.190 Å, α = 90.00°, β = 90.00° and γ = 90.00°. Symmetry generates all atoms from Ag at (0.000, 0.000, 0.000), P at (0.133, 0.133, 0.633) and Ir at (0.250, 0.250, 0.250).



## Ag2PIr (PBE)

Data for an optimized crystal structure of Ag2PIr.

The crystal system is monoclinic. The energy of formation is 0.407 eV/atom.

It has space group C2/m (No. 12), with a = 5.254 Å, b = 10.059 Å, c = 3.001 Å, α = 90.00°, β = 124.75° and γ = 90.00°. Symmetry generates all atoms from Ag at (0.250, 0.250, 0.000), P at (0.000, 0.000, 0.500) and Ir at (0.000, 0.500, 0.500).



## AgPIr2 (PBE)

Data for an optimized crystal structure of AgPIr2.

The crystal system is tetragonal. The energy of formation is 0.055 eV/atom.

It has space group P4/mmm (No. 123), with a = 2.873 Å, b = 2.873 Å, c = 7.151 Å, α = 90.00°, β = 90.00° and γ = 90.00°. Symmetry generates all atoms from Ag at (0.000, 0.000, 0.000), P at (0.000, 0.000, 0.500) and Ir at (0.500, 0.500, 0.301).



## Ag2PIr (PBE)

Data for an optimized crystal structure of Ag2PIr.

The crystal system is orthorhombic. The energy of formation is 0.164 eV/atom.

It has space group Imm2 (No. 44), with a = 3.176 Å, b = 4.597 Å, c = 9.277 Å, α = 90.00°, β = 90.00° and γ = 90.00°. Symmetry generates all atoms from Ag at (0.000, 0.000, 0.000), Ag at (0.000, 0.500, 0.207), P at (0.000, 0.000, 0.442) and Ir at (0.000, 0.500, 0.772).



## Ag4PIr (PBE)

Data for an optimized crystal structure of Ag4PIr.

The crystal system is cubic. The energy of formation is 0.772 eV/atom.

It has space group F-43m (No. 216), with a = 7.549 Å, b = 7.549 Å, c = 7.549 Å, α = 90.00°, β = 90.00° and γ = 90.00°. Symmetry generates all atoms from Ag at (0.125, 0.125, 0.125), P at (0.000, 0.000, 0.500) and Ir at (0.250, 0.250, 0.750).



## Ag2PIr (PBE)

Data for an optimized crystal structure of Ag2PIr.

The crystal system is trigonal. The energy of formation is 0.460 eV/atom.

It has space group R-3m (No. 166, hexagonal axes), with a = 2.8660 Å, b = 2.8660 Å, c = 27.1753 Å, α = 90.00°, β = 90.00° and γ = 120.00°. Symmetry generates all atoms from Ag at (0.0000, 0.0000, 0.2470), P at (0.0000, 0.0000, 0.5000) and Ir at (0.0000, 0.0000, 0.0000).



## AgPIr2 (PBE)

Data for an optimized crystal structure of AgPIr2.

The crystal system is monoclinic. The energy of formation is 0.066 eV/atom.

It has space group C2/m (No. 12), with a = 6.664 Å, b = 2.906 Å, c = 6.759 Å, α = 90.00°, β = 100.68° and γ = 90.00°. Symmetry generates all atoms from Ag at (0.000, 0.000, 0.000), P at (0.000, 0.500, 0.500) and Ir at (0.244, 0.000, 0.686).